Below is an optimized crystal structure of Tb2AsP, with properties calculated at the PBE level.

The formation energy is -1.43 eV/atom.

The space group is R3m (No. 160, hexagonal axes) and the conventional cell measures 4.0470, 4.0470 and 20.7856 Å, with angles of 90.00, 90.00 and 120.00 degrees. The asymmetric unit holds Tb at (0.0000, 0.0000, 0.0000), Tb at (0.0000, 0.0000, 0.1756), As at (0.0000, 0.0000, 0.4203) and P at (0.0000, 0.0000, 0.5892).


Below is an optimized crystal structure of Tb3As2P, with properties calculated at the PBE level.

The offset from the most stable computed form comes out at 0 meV/atom. The formation energy is -1.56 eV/atom.

The space group is Fddd (No. 70, origin choice 2) and the conventional cell measures 8.2042, 11.6032 and 24.6034 Å, with angles of 90.00, 90.00 and 90.00 degrees. The asymmetric unit holds Tb at (0.1195, 0.3750, 0.3750), Tb at (0.1224, 0.3725, 0.2094), As at (0.1250, 0.1250, 0.3754), As at (0.1250, 0.1250, 0.5422) and P at (0.1250, 0.1250, 0.0417).


Below is an optimized crystal structure of Tb3As2P, with properties calculated at the PBE level.

The offset from the most stable computed form comes out at 3 meV/atom. The formation energy is -1.56 eV/atom.

The space group is C2/c (No. 15) and the conventional cell measures 7.1085, 12.3048 and 7.1011 Å, with angles of 90.00, 109.43 and 90.00 degrees. The asymmetric unit holds Tb at (0.2433, 0.0812, 0.9997), Tb at (0.2500, 0.2500, 0.5000), As at (0.0000, 0.2512, 0.7500), As at (0.0000, 0.4167, 0.2500) and P at (0.0000, 0.0841, 0.2500).


Result set for total magnetization: 0.00; 0.00; 0.00 μB per cell, one per record in the order listed.